KTcAg2, optimized geometry, DFT GGA-PBE; formation energy from the elements = 1.031 eV per atom; V = 87 Å³ per cell
1.0
-2.163 2.163 4.665
2.163 -2.163 4.665
2.163 2.163 -4.665
K Tc Ag
1 1 2
Direct
0.000 0.000 0.000 K
0.250 0.750 0.500 Tc
0.500 0.500 0.000 Ag
0.750 0.250 0.500 Ag

FeIrPb2, optimized geometry, DFT GGA-PBE; formation energy from the elements = 0.476 eV per atom; V = 87 Å³ per cell
1.0
-1.663 2.248 5.825
1.663 -2.248 5.825
1.663 2.248 -5.825
Fe Ir Pb
1 1 2
Direct
0.000 0.000 0.000 Fe
0.154 0.654 0.500 Ir
0.457 0.457 0.000 Pb
0.736 0.236 0.500 Pb

In3SnRh, optimized geometry, DFT GGA-PBE; formation energy from the elements = -0.147 eV per atom; V = 245 Å³ per cell
1.0
5.314 -4.244 0.000
5.314 4.244 0.000
-4.040 0.000 5.421
In Sn Rh
6 2 2
Direct
0.055 0.055 0.334 In
0.079 0.463 0.240 In
0.463 0.079 0.240 In
0.537 0.921 0.760 In
0.921 0.537 0.760 In
0.945 0.945 0.666 In
0.438 0.438 0.721 Sn
0.562 0.562 0.279 Sn
0.257 0.257 0.882 Rh
0.743 0.743 0.118 Rh

Pr6Ag2Sn, optimized geometry, DFT GGA-PBE; formation energy from the elements = -0.245 eV per atom; V = 565 Å³ per cell
1.0
-5.122 5.212 5.295
5.122 -5.212 5.295
5.122 5.212 -5.295
Pr Ag Sn
12 4 2
Direct
0.045 0.245 0.800 Pr
0.185 0.272 0.456 Pr
0.185 0.728 0.913 Pr
0.322 0.043 0.721 Pr
0.322 0.602 0.279 Pr
0.445 0.245 0.200 Pr
0.555 0.755 0.800 Pr
0.678 0.398 0.721 Pr
0.678 0.957 0.279 Pr
0.815 0.272 0.087 Pr
0.815 0.728 0.544 Pr
0.955 0.755 0.200 Pr
0.130 0.630 0.500 Ag
0.362 0.000 0.362 Ag
0.638 0.000 0.638 Ag
0.870 0.370 0.500 Ag
0.000 0.000 0.000 Sn
0.500 0.500 0.000 Sn

TbCdPd2, optimized geometry, DFT GGA-PBE; formation energy from the elements = -0.730 eV per atom; V = 78 Å³ per cell
1.0
0.000 3.398 3.398
3.398 0.000 3.398
3.398 3.398 0.000
Tb Cd Pd
1 1 2
Direct
0.000 0.000 0.000 Tb
0.500 0.500 0.500 Cd
0.250 0.250 0.250 Pd
0.750 0.750 0.750 Pd

Pm6MgPd3, optimized geometry, DFT GGA-PBE; formation energy from the elements = -0.442 eV per atom; V = 560 Å³ per cell
1.0
5.884 -6.629 0.000
5.884 6.629 0.000
0.000 0.000 7.178
Pm Mg Pd
12 2 6
Direct
0.058 0.487 0.330 Pm
0.078 0.922 0.500 Pm
0.212 0.788 0.014 Pm
0.295 0.376 0.957 Pm
0.376 0.295 0.457 Pm
0.487 0.058 0.830 Pm
0.513 0.942 0.330 Pm
0.624 0.705 0.957 Pm
0.705 0.624 0.457 Pm
0.788 0.212 0.514 Pm
0.922 0.078 0.000 Pm
0.942 0.513 0.830 Pm
0.338 0.662 0.620 Mg
0.662 0.338 0.120 Mg
0.090 0.241 0.665 Pd
0.241 0.090 0.165 Pd
0.398 0.602 0.256 Pd
0.602 0.398 0.756 Pd
0.759 0.910 0.665 Pd
0.910 0.759 0.165 Pd

CaTeOF2, optimized geometry, DFT GGA-PBE; formation energy from raw total energies = -1.464 eV/atom; V = 98 Å³ per cell
1.0
4.852 0.000 0.000
0.000 4.852 0.000
0.000 0.000 4.171
Ca Te O F
1 1 1 2
Direct
0.000 0.000 0.000 Ca
0.500 0.500 0.500 Te
0.500 0.500 0.000 O
0.000 0.500 0.500 F
0.500 0.000 0.500 F

Dy2Be3GaPt4, optimized geometry, DFT GGA-PBE; formation energy from the elements = -0.932 eV per atom; V = 162 Å³ per cell
1.0
4.050 0.000 0.000
0.000 4.050 0.000
0.000 0.000 9.854
Dy Be Ga Pt
2 3 1 4
Direct
0.000 0.500 0.242 Dy
0.500 0.000 0.758 Dy
0.000 0.500 0.881 Be
0.500 0.000 0.119 Be
0.500 0.500 0.500 Be
0.000 0.000 0.500 Ga
0.000 0.000 0.000 Pt
0.000 0.500 0.647 Pt
0.500 0.000 0.353 Pt
0.500 0.500 0.000 Pt

Mg2CdAg, optimized geometry, DFT GGA-PBE; formation energy from the elements = 0.090 eV per atom; V = 181 Å³ per cell
1.0
-3.921 3.921 2.941
3.921 -3.921 2.941
3.921 3.921 -2.941
Mg Cd Ag
4 2 2
Direct
0.102 0.625 0.977 Mg
0.375 0.352 0.477 Mg
0.648 0.125 0.023 Mg
0.875 0.898 0.523 Mg
0.250 0.750 0.500 Cd
0.500 0.500 0.000 Cd
0.000 0.000 0.000 Ag
0.750 0.250 0.500 Ag

Ca3Pb, optimized geometry, DFT GGA-PBE; formation energy from the elements = -0.379 eV per atom; V = 130 Å³ per cell
1.0
5.064 0.000 0.000
0.000 5.064 0.000
0.000 0.000 5.064
Ca Pb
3 1
Direct
0.000 0.000 0.500 Ca
0.000 0.500 0.000 Ca
0.500 0.000 0.000 Ca
0.500 0.500 0.500 Pb

NaH4Pd2Pt, optimized geometry, DFT GGA-PBE; V = 83 Å³ per cell
1.0
-2.153 2.166 4.441
2.153 -2.166 4.441
2.153 2.166 -4.441
Na H Pd Pt
1 4 2 1
Direct
0.000 0.000 0.000 Na
0.159 0.161 0.611 H
0.450 0.839 0.998 H
0.550 0.548 0.389 H
0.841 0.452 0.002 H
0.250 0.750 0.500 Pd
0.750 0.250 0.500 Pd
0.500 0.500 0.000 Pt

Pr6Sm3Sc2, optimized geometry, DFT GGA-PBE; formation energy from the elements = 0.196 eV per atom; V = 384 Å³ per cell
1.0
3.140 -5.450 0.000
3.140 5.450 0.000
-2.114 0.000 11.219
Pr Sm Sc
6 3 2
Direct
0.078 0.409 0.233 Pr
0.253 0.253 0.767 Pr
0.409 0.078 0.233 Pr
0.591 0.922 0.767 Pr
0.747 0.747 0.233 Pr
0.922 0.591 0.767 Pr
0.166 0.834 0.500 Sm
0.500 0.500 0.500 Sm
0.834 0.166 0.500 Sm
0.333 0.667 0.000 Sc
0.667 0.333 0.000 Sc

no.,total DFT energy (no corrections) (eV per atom)
1,-3.26
2,-5.71
3,-4.06
4,-4.51
5,-4.71
6,-5.01
7,-4.23
8,-5.69
9,-1.65
10,-2.81
11,-4.04
12,-4.85